Below is a geometry-optimized Ga2GeIr2 structure, with properties calculated at the PBE level.

* ΔH_f (0 K): -0.1195 eV/atom

```
data_Ga2GeIr2
_chemical_formula_sum 'Ga4 Ge2 Ir4'
_cell_length_a 7.473
_cell_length_b 7.473
_cell_length_c 2.856
_cell_angle_alpha 90.00
_cell_angle_beta 90.00
_cell_angle_gamma 90.00
_space_group_name_H-M_alt 'P 4/m b m'
_space_group_IT_number 127
_space_group_name_Hall '-P 4 2ab'
loop_
_atom_site_label
_atom_site_fract_x
_atom_site_fract_y
_atom_site_fract_z
Ga1 0.137 0.363 0.000
Ge1 0.000 0.000 0.000
Ir1 0.158 0.658 0.500
```

=====

Below is a geometry-optimized LiV3Ni structure, with properties calculated at the PBE level.

* ΔH_f (0 K): 0.9957 eV/atom

```
data_LiV3Ni
_chemical_formula_sum 'Li1 V3 Ni1'
_cell_length_a 4.401
_cell_length_b 4.401
_cell_length_c 4.401
_cell_angle_alpha 90.00
_cell_angle_beta 90.00
_cell_angle_gamma 90.00
_space_group_name_H-M_alt 'P m -3 m'
_space_group_IT_number 221
_space_group_name_Hall '-P 4 2 3'
loop_
_atom_site_label
_atom_site_fract_x
_atom_site_fract_y
_atom_site_fract_z
Li1 0.000 0.000 0.000
V1 0.000 0.500 0.500
Ni1 0.500 0.500 0.500
```